Entry from Alexandria via LeMat-Bulk: a relaxed Ba2RePbO6 crystal (PBE).

Cell: 6.0901 6.2695 6.1043 Å, 119.21 120.29 89.96°
Closest atoms and distances in Å follow each position.
Atoms (fractional coordinates):
O 0.8185 0.8383 0.0943  1 Re 1.95
O 0.7296 0.1690 0.9036  1 Re 1.95
O 0.7831 0.7047 0.5719  1 Re 1.95
O 0.2169 0.2961 0.4277  1 Re 1.95
O 0.1814 0.1625 0.9053  1 Re 1.95
O 0.2703 0.8318 0.0960  1 Re 1.95
Pb 0.4998 0.5003 0.9998  6 O 2.50-2.52
Re 0.9999 0.0004 0.9998  6 O 1.95
Ba 0.7441 0.2369 0.4912  5 O 2.72-2.84
Ba 0.2555 0.7638 0.5084  5 O 2.71-2.84

Calculated values
SG: P-1 (2)
ρ: 7.639 g/cm³
V: 16.6 A^3/atom
Raw formation energy: -20.16 eV/f.u.
E_tot: -69.9 eV per cell